[1]
Ti3Bi4O12, optimized geometry, DFT GGA-PBEsol; uncorrected energy = -291.16 eV for the cell shown; ρ = 7.96 g/cm³; E_form (uncorrected) = -2130 meV/atom; volume = 489.1 Å³/cell; E above lowest polymorph = 22 meV per atom
1.0
3.842 0.050 0.000
-0.012 3.842 0.000
0.000 0.000 33.127
O Bi Ti
24 8 6
direct
0.549 0.006 0.118 O
0.065 0.037 0.559 O
0.537 0.565 0.059 O
0.017 0.534 0.616 O
0.565 0.537 0.941 O
0.517 0.034 0.884 O
0.035 0.557 0.005 O
0.995 0.040 0.682 O
0.034 0.517 0.116 O
0.040 0.995 0.318 O
0.534 0.017 0.384 O
0.495 0.540 0.818 O
0.476 0.946 0.750 O
0.037 0.065 0.441 O
0.049 0.506 0.382 O
0.946 0.476 0.250 O
0.006 0.549 0.882 O
0.446 0.976 0.250 O
0.506 0.049 0.618 O
0.540 0.495 0.182 O
0.057 0.535 0.505 O
0.535 0.057 0.495 O
0.976 0.446 0.750 O
0.557 0.035 0.995 O
0.412 0.465 0.288 Bi
0.409 0.505 0.567 Bi
0.965 0.912 0.788 Bi
0.005 0.909 0.067 Bi
0.912 0.965 0.212 Bi
0.505 0.409 0.433 Bi
0.909 0.005 0.933 Bi
0.465 0.412 0.712 Bi
0.009 0.009 0.500 Ti
0.483 0.526 0.871 Ti
0.983 0.026 0.629 Ti
0.526 0.483 0.129 Ti
0.026 0.983 0.371 Ti
0.509 0.509 0.000 Ti

=====

[2]
TiBi3O, optimized geometry, DFT GGA-PBEsol; uncorrected energy = -26.87 eV for the cell shown; ρ = 10.23 g/cm³; E_form (uncorrected) = -89 meV/atom; volume = 112.1 Å³/cell
1.0
4.822 0.000 0.000
0.000 4.822 0.000
0.000 0.000 4.822
O Ti Bi
1 1 3
direct
0.000 0.000 0.000 O
0.500 0.500 0.500 Ti
0.500 0.000 0.000 Bi
0.000 0.500 0.000 Bi
0.000 0.000 0.500 Bi

=====

[3]
Ti3Bi4O12, optimized geometry, DFT GGA-PBEsol; uncorrected energy = -145.32 eV for the cell shown; ρ = 8.06 g/cm³; E_form (uncorrected) = -2117 meV/atom; volume = 241.4 Å³/cell; E above lowest polymorph = 36 meV per atom
1.0
-2.656 0.069 -2.760
-2.019 -2.718 1.793
-10.052 10.576 7.880
O Bi Ti
12 4 3
direct
0.094 0.576 0.767 O
0.000 0.500 0.000 O
0.648 0.648 0.635 O
0.500 0.000 0.000 O
0.424 0.906 0.233 O
0.248 0.752 0.500 O
0.752 0.248 0.500 O
0.352 0.352 0.365 O
0.472 0.472 0.120 O
0.528 0.528 0.880 O
0.906 0.424 0.233 O
0.576 0.094 0.767 O
0.240 0.240 0.577 Bi
0.876 0.876 0.133 Bi
0.760 0.760 0.423 Bi
0.124 0.124 0.867 Bi
0.500 0.500 0.000 Ti
0.618 0.618 0.743 Ti
0.382 0.382 0.257 Ti

=====

[4]
TiBi2O5, optimized geometry, DFT GGA-PBEsol; uncorrected energy = -115.97 eV for the cell shown; ρ = 7.25 g/cm³; E_form (uncorrected) = -1856 meV/atom; volume = 250.1 Å³/cell; E above lowest polymorph = 85 meV per atom
1.0
4.005 0.000 0.000
-2.002 6.115 0.000
0.000 0.000 10.214
Ti O Bi
2 10 4
direct
0.837 0.674 0.250 Ti
0.163 0.326 0.750 Ti
0.061 0.123 0.618 O
0.939 0.877 0.382 O
0.276 0.552 0.915 O
0.295 0.589 0.250 O
0.276 0.552 0.585 O
0.705 0.411 0.750 O
0.724 0.448 0.085 O
0.061 0.123 0.882 O
0.939 0.877 0.118 O
0.724 0.448 0.415 O
0.142 0.285 0.076 Bi
0.858 0.715 0.576 Bi
0.858 0.715 0.924 Bi
0.142 0.285 0.424 Bi

=====

[5]
TiBi2O5, optimized geometry, DFT GGA-PBEsol; uncorrected energy = -117.33 eV for the cell shown; ρ = 7.58 g/cm³; E_form (uncorrected) = -1941 meV/atom; volume = 239.1 Å³/cell; E above lowest polymorph = 0 meV per atom
1.0
5.474 0.000 0.000
0.000 5.567 0.000
0.000 -2.783 7.846
O Bi Ti
10 4 2
direct
0.842 0.249 0.808 O
0.342 0.751 0.192 O
0.512 0.740 0.504 O
0.938 0.903 0.000 O
0.438 0.097 0.000 O
0.012 0.764 0.504 O
0.842 0.441 0.192 O
0.512 0.236 0.496 O
0.012 0.260 0.496 O
0.342 0.559 0.808 O
0.741 0.884 0.339 Bi
0.241 0.116 0.661 Bi
0.241 0.455 0.339 Bi
0.741 0.545 0.661 Bi
0.265 0.812 0.000 Ti
0.765 0.188 0.000 Ti

=====

[6]
TiBi2O, optimized geometry, DFT GGA-PBEsol; uncorrected energy = -44.17 eV for the cell shown; ρ = 9.51 g/cm³; E_form (uncorrected) = 14 meV/atom; volume = 168.3 Å³/cell
1.0
-2.698 -4.761 2.519
5.920 -0.260 1.084
0.989 0.062 5.942
Bi Ti O
4 2 2
direct
0.430 0.625 0.445 Bi
0.930 0.805 0.625 Bi
0.570 0.125 0.805 Bi
0.070 0.445 0.125 Bi
0.000 0.000 0.000 Ti
0.500 0.250 0.250 Ti
0.500 0.750 0.750 O
0.000 0.500 0.500 O

=====

[7]
TiBi2O5, optimized geometry, DFT GGA-PBEsol; uncorrected energy = -234.54 eV for the cell shown; ρ = 7.61 g/cm³; E_form (uncorrected) = -1937 meV/atom; volume = 476.2 Å³/cell; E above lowest polymorph = 4 meV per atom
1.0
3.894 0.000 0.000
0.000 11.093 0.000
0.000 0.000 11.022
Ti Bi O
4 8 20
direct
0.250 0.205 0.370 Ti
0.750 0.295 0.870 Ti
0.750 0.795 0.630 Ti
0.250 0.705 0.130 Ti
0.750 0.410 0.218 Bi
0.750 0.865 0.941 Bi
0.750 0.365 0.559 Bi
0.750 0.910 0.282 Bi
0.250 0.590 0.782 Bi
0.250 0.135 0.059 Bi
0.250 0.090 0.718 Bi
0.250 0.635 0.441 Bi
0.750 0.447 0.822 O
0.750 0.698 0.770 O
0.250 0.748 0.626 O
0.750 0.947 0.678 O
0.250 0.002 0.900 O
0.250 0.302 0.230 O
0.250 0.743 0.963 O
0.750 0.198 0.730 O
0.750 0.757 0.463 O
0.250 0.053 0.322 O
0.250 0.248 0.874 O
0.250 0.802 0.270 O
0.750 0.752 0.126 O
0.250 0.243 0.537 O
0.750 0.252 0.374 O
0.750 0.998 0.100 O
0.750 0.498 0.400 O
0.250 0.553 0.178 O
0.250 0.502 0.600 O
0.750 0.257 0.037 O

=====

[8]
Ti3Bi4O12, optimized geometry, DFT GGA-PBEsol; uncorrected energy = -292.00 eV for the cell shown; ρ = 8.08 g/cm³; E_form (uncorrected) = -2153 meV/atom; volume = 481.5 Å³/cell; E above lowest polymorph = 0 meV per atom
1.0
-0.100 -4.890 2.272
3.050 1.839 4.093
-15.134 3.209 6.239
O Ti Bi
24 6 8
direct
0.316 0.038 0.888 O
0.980 0.191 0.781 O
0.534 0.307 0.024 O
0.006 0.511 0.498 O
0.468 0.907 0.221 O
0.532 0.407 0.221 O
0.461 0.234 0.756 O
0.193 0.878 0.639 O
0.506 0.513 0.502 O
0.539 0.734 0.756 O
0.684 0.538 0.888 O
0.312 0.245 0.362 O
0.020 0.691 0.781 O
0.175 0.157 0.121 O
0.994 0.011 0.498 O
0.946 0.002 0.252 O
0.044 0.364 0.989 O
0.956 0.864 0.989 O
0.466 0.807 0.024 O
0.688 0.745 0.362 O
0.494 0.013 0.502 O
0.807 0.378 0.639 O
0.825 0.657 0.121 O
0.054 0.502 0.252 O
0.246 0.051 0.004 Ti
0.249 0.928 0.745 Ti
0.751 0.428 0.745 Ti
0.754 0.551 0.004 Ti
0.754 0.687 0.256 Ti
0.246 0.187 0.256 Ti
0.271 0.703 0.421 Bi
0.254 0.581 0.132 Bi
0.230 0.285 0.576 Bi
0.747 0.947 0.868 Bi
0.746 0.081 0.132 Bi
0.770 0.785 0.576 Bi
0.253 0.447 0.868 Bi
0.729 0.203 0.421 Bi